Record 1
First-principles (GGA-PBE) data for an optimized crystal structure of HfZr2Fe, as listed in Alexandria via LeMat-Bulk.

abc: 7.5738 7.5738 5.6957
angles: 90.00 90.00 90.00
With the nearest neighbours (Å) after each atom.
Space group I-42d (No. 122)
Inequivalent atoms, fractional coordinates:
Hf 0.0000 0.0000 0.0000 x4  2 Fe 2.85, 4 Zr 3.10
Zr 0.1896 0.2500 0.6250 x8  2 Fe 2.48
Fe 0.0000 0.0000 0.5000 x4  4 Zr 2.48

***

Record 2
First-principles (GGA-PBE) data for an optimized crystal structure of Hf3ZrFe, as listed in Alexandria via LeMat-Bulk.

abc: 4.9943 4.9943 4.9943
angles: 90.00 90.00 90.00
With the nearest neighbours (Å) after each atom.
Space group Pm-3m (No. 221)
Inequivalent atoms, fractional coordinates:
Hf 0.0000 0.0000 0.5000 x3  2 Zr 2.50
Zr 0.0000 0.0000 0.0000 x1  6 Hf 2.50
Fe 0.5000 0.5000 0.5000 x1  12 Hf 3.53

***

Record 3
First-principles (GGA-PBE) data for an optimized crystal structure of HfZr2Fe, as listed in Alexandria via LeMat-Bulk.

abc: 6.7174 6.7174 6.7174
angles: 90.00 90.00 90.00
With the nearest neighbours (Å) after each atom.
Space group Fm-3m (No. 225)
Inequivalent atoms, fractional coordinates:
Hf 0.0000 0.0000 0.0000 x4  8 Zr 2.91
Zr 0.2500 0.2500 0.2500 x8  4 Hf 2.91, 4 Fe 2.91
Fe 0.0000 0.0000 0.5000 x4  8 Zr 2.91

***

Record 4
First-principles (GGA-PBE) data for an optimized crystal structure of HfZr3Fe4, as listed in Alexandria via LeMat-Bulk.

abc: 3.1626 3.1626 12.6581
angles: 90.00 90.00 90.00
With the nearest neighbours (Å) after each atom.
Space group P4/mmm (No. 123)
Inequivalent atoms, fractional coordinates:
Hf 0.0000 0.0000 0.0000 x1  8 Fe 2.72
Zr 0.0000 0.0000 0.2492 x2  8 Fe 2.74-2.75
Zr 0.0000 0.0000 0.5000 x1  8 Fe 2.75
Fe 0.5000 0.5000 0.1224 x2  4 Hf 2.72, 4 Zr 2.75
Fe 0.5000 0.5000 0.3740 x2  8 Zr 2.74-2.75

***

Record 5
First-principles (GGA-PBE) data for an optimized crystal structure of Hf3ZrFe2, as listed in Alexandria via LeMat-Bulk.

abc: 3.1742 3.1742 10.5873
angles: 90.00 90.00 90.00
With the nearest neighbours (Å) after each atom.
Space group P4/mmm (No. 123)
Inequivalent atoms, fractional coordinates:
Hf 0.0000 0.0000 0.0000 x1  8 Fe 2.73
Hf 0.0000 0.0000 0.2932 x2  4 Fe 2.72
Zr 0.5000 0.5000 0.5000 x1  8 Hf 3.14, 4 Zr 3.17
Fe 0.5000 0.5000 0.1476 x2  8 Hf 2.72-2.73

***

Record 6
First-principles (GGA-PBE) data for an optimized crystal structure of Hf6Zr2Fe, as listed in Alexandria via LeMat-Bulk.

abc: 8.2546 8.2546 3.2554
angles: 90.00 90.00 120.00
With the nearest neighbours (Å) after each atom.
Space group P-62m (No. 189)
Inequivalent atoms, fractional coordinates:
Hf 0.0000 0.3804 0.0000 x3  4 Zr 3.05, 1 Fe 3.14, 6 Hf 3.20-3.26
Hf 0.0000 0.7558 0.5000 x3  2 Fe 2.59
Zr 0.3333 0.6667 0.5000 x2  9 Hf 3.05-3.18, 2 Zr 3.26
Fe 0.0000 0.0000 0.0000 x1  6 Hf 2.59

***

Record 7
First-principles (GGA-PBE) data for an optimized crystal structure of Hf2Zr3Fe, as listed in Alexandria via LeMat-Bulk.

abc: 17.3271 5.0551 3.0386
angles: 90.00 100.03 90.00
With the nearest neighbours (Å) after each atom.
Space group C2/m (No. 12)
Inequivalent atoms, fractional coordinates:
Hf 0.2178 0.0000 0.2189 x4  6 Hf 3.04-3.15, 4 Zr 3.04-3.18
Zr 0.0000 0.0000 0.5000 x2  2 Fe 2.53
Zr 0.1188 0.5000 0.1177 x4  2 Fe 2.53
Fe 0.0000 0.5000 0.5000 x2  6 Zr 2.53

***

Record 8
First-principles (GGA-PBE) data for an optimized crystal structure of FeHg4, as listed in Alexandria via LeMat-Bulk.

abc: 3.0422 3.0422 23.8903
angles: 90.00 90.00 90.00
With the nearest neighbours (Å) after each atom.
Space group I4/mmm (No. 139)
Inequivalent atoms, fractional coordinates:
Fe 0.0000 0.0000 0.0000 x2  8 Hg 2.84, 4 Fe 3.04
Hg 0.0000 0.0000 0.1922 x4  4 Hg 3.04
Hg 0.0000 0.0000 0.4223 x4  4 Fe 2.84, 4 Hg 3.04

***

Record 9
First-principles (GGA-PBE) data for an optimized crystal structure of Fe3Hg, as listed in Alexandria via LeMat-Bulk.

abc: 8.6874 2.8490 4.7128
angles: 90.00 101.39 90.00
With the nearest neighbours (Å) after each atom.
Space group C2/m (No. 12)
Inequivalent atoms, fractional coordinates:
Fe 0.0000 0.0000 0.0000 x2  8 Fe 2.59-2.85, 4 Hg 2.75
Fe 0.2439 0.5000 0.2172 x4  5 Fe 2.51-2.63, 3 Hg 2.72-2.75
Hg 0.0000 0.5000 0.5000 x2  10 Fe 2.72-2.75, 2 Hg 2.85

***

Record 10
First-principles (GGA-PBE) data for an optimized crystal structure of Fe5Hg, as listed in Alexandria via LeMat-Bulk.

abc: 6.7667 6.7667 6.7667
angles: 90.00 90.00 90.00
With the nearest neighbours (Å) after each atom.
Space group F-43m (No. 216)
Inequivalent atoms, fractional coordinates:
Fe 0.0000 0.0000 0.0000 x4  12 Fe 2.80, 4 Hg 2.93
Fe 0.1253 0.1253 0.6253 x16  6 Fe 2.39-2.40
Hg 0.2500 0.2500 0.2500 x4  16 Fe 2.81-2.93

***

Record 11
First-principles (GGA-PBE) data for an optimized crystal structure of Fe3Hg5, as listed in Alexandria via LeMat-Bulk.

abc: 8.7207 9.1291 3.7936
angles: 90.00 90.00 90.00
With the nearest neighbours (Å) after each atom.
Space group Cmmm (No. 65)
Inequivalent atoms, fractional coordinates:
Fe 0.0000 0.0000 0.0000 x2  4 Fe 2.67, 4 Hg 2.80
Fe 0.0000 0.2062 0.5000 x4  2 Fe 2.67, 6 Hg 2.79-2.92
Hg 0.0000 0.5000 0.0000 x2  8 Hg 2.98-3.16, 4 Fe 3.29
Hg 0.2367 0.0000 0.5000 x4  4 Fe 2.79-2.80, 6 Hg 2.97-2.98
Hg 0.2500 0.2500 0.0000 x4  6 Fe 2.92-3.16, 6 Hg 2.97-3.16

***

Record 12
First-principles (GGA-PBE) data for an optimized crystal structure of FeHg5, as listed in Alexandria via LeMat-Bulk.

abc: 14.4080 2.9649 9.9806
angles: 90.00 133.81 90.00
With the nearest neighbours (Å) after each atom.
Space group Cm (No. 8)
Inequivalent atoms, fractional coordinates:
Fe 0.0000 0.0000 0.0000 x2  8 Hg 2.75, 2 Fe 2.96
Hg 0.1564 0.5000 0.9908 x2  2 Fe 2.75, 4 Hg 2.96-2.97
Hg 0.1575 0.5000 0.3218 x2  2 Fe 2.75, 4 Hg 2.96-2.97
Hg 0.3424 0.0000 0.6783 x2  2 Fe 2.75, 4 Hg 2.96-2.97
Hg 0.3437 0.0000 0.0095 x2  2 Fe 2.75, 4 Hg 2.96-2.97
Hg 0.4989 0.0000 0.4974 x2  2 Hg 2.96

***

Record 13
First-principles (GGA-PBE) data for an optimized crystal structure of Fe4Hg5, as listed in Alexandria via LeMat-Bulk.

abc: 8.9580 8.9580 4.0735
angles: 90.00 90.00 90.00
With the nearest neighbours (Å) after each atom.
Space group I4/mmm (No. 139)
Inequivalent atoms, fractional coordinates:
Fe 0.0000 0.3705 0.0000 x8  1 Fe 2.32
Hg 0.0000 0.0000 0.0000 x2  8 Hg 2.98, 4 Fe 3.32
Hg 0.1717 0.1717 0.5000 x8  6 Hg 2.84-3.08, 6 Fe 2.97-3.11

***

Record 14
First-principles (GGA-PBE) data for an optimized crystal structure of Fe2Hg, as listed in Alexandria via LeMat-Bulk.

abc: 3.7035 3.7035 13.9055
angles: 90.00 90.00 90.00
With the nearest neighbours (Å) after each atom.
Space group I4_1/amd (No. 141, origin choice 2)
Inequivalent atoms, fractional coordinates:
Fe 0.0000 0.2500 0.2931 x8  3 Fe 2.21-2.28
Hg 0.0000 0.2500 0.8750 x4  12 Fe 2.86-2.98

***

Record 15
First-principles (GGA-PBE) data for an optimized crystal structure of Fe2Hg, as listed in Alexandria via LeMat-Bulk.

abc: 7.6102 7.6102 2.7241
angles: 90.00 90.00 120.00
With the nearest neighbours (Å) after each atom.
Space group P-62m (No. 189)
Inequivalent atoms, fractional coordinates:
Fe 0.0000 0.3102 0.0000 x3  4 Hg 2.63-2.73, 8 Fe 2.72-2.89
Fe 0.0000 0.6443 0.5000 x3  5 Hg 2.71-2.81, 8 Fe 2.72-2.89
Hg 0.0000 0.0000 0.5000 x1  9 Fe 2.71-2.73, 2 Hg 2.72
Hg 0.3333 0.6667 0.0000 x2  9 Fe 2.63-2.81, 2 Hg 2.72

***

Record 16
First-principles (GGA-PBE) data for an optimized crystal structure of Fe5Hg, as listed in Alexandria via LeMat-Bulk.

abc: 3.1416 12.2045 4.1807
angles: 90.00 90.00 90.00
With the nearest neighbours (Å) after each atom.
Space group Cmmm (No. 65)
Inequivalent atoms, fractional coordinates:
Fe 0.0000 0.0000 0.0000 x2  4 Fe 2.59, 4 Hg 2.61
Fe 0.0000 0.1772 0.5000 x4  6 Fe 2.37-2.62
Fe 0.0000 0.3311 0.0000 x4  10 Fe 2.53-2.81
Hg 0.0000 0.5000 0.5000 x2  8 Fe 2.61-2.67

***

Record 17
First-principles (GGA-PBE) data for an optimized crystal structure of Fe3Hg4, as listed in Alexandria via LeMat-Bulk.

abc: 5.1918 5.1918 5.4516
angles: 90.00 90.00 120.00
With the nearest neighbours (Å) after each atom.
Space group P6/mmm (No. 191)
Inequivalent atoms, fractional coordinates:
Fe 0.0000 0.5000 0.0000 x3  4 Fe 2.60
Hg 0.0000 0.0000 0.2485 x2  2 Hg 2.71-2.74, 6 Fe 2.93
Hg 0.3333 0.6667 0.5000 x2  9 Hg 3.00-3.30, 6 Fe 3.11

***

Record 18
First-principles (GGA-PBE) data for an optimized crystal structure of FeHg4, as listed in Alexandria via LeMat-Bulk.

abc: 3.9442 3.9442 16.3438
angles: 90.00 90.00 90.00
With the nearest neighbours (Å) after each atom.
Space group I4/mmm (No. 139)
Inequivalent atoms, fractional coordinates:
Fe 0.0000 0.0000 0.0000 x2  8 Hg 3.13
Hg 0.0000 0.0000 0.4125 x4  1 Hg 2.86, 4 Fe 3.13
Hg 0.0000 0.5000 0.2500 x4  4 Hg 2.79

***

Record 19
First-principles (GGA-PBE) data for an optimized crystal structure of FeHg5, as listed in Alexandria via LeMat-Bulk.

abc: 8.4838 8.4838 8.4838
angles: 90.00 90.00 90.00
With the nearest neighbours (Å) after each atom.
Space group F-43m (No. 216)
Inequivalent atoms, fractional coordinates:
Fe 0.0000 0.0000 0.0000 x4  16 Hg 3.52-3.67
Hg 0.1255 0.1255 0.3745 x16  6 Hg 2.99-3.01
Hg 0.2500 0.2500 0.7500 x4  12 Hg 3.52, 4 Fe 3.67

***

Record 20
First-principles (GGA-PBE) data for an optimized crystal structure of Fe2Hg, as listed in Alexandria via LeMat-Bulk.

abc: 3.0777 3.0777 9.4620
angles: 90.00 90.00 90.00
With the nearest neighbours (Å) after each atom.
Space group I4/mmm (No. 139)
Inequivalent atoms, fractional coordinates:
Fe 0.0000 0.0000 0.1909 x4  4 Fe 2.45
Hg 0.0000 0.0000 0.5000 x2  10 Fe 2.83-2.92, 4 Hg 3.08

***

Record 21
First-principles (GGA-PBE) data for an optimized crystal structure of FeHg2, as listed in Alexandria via LeMat-Bulk.

abc: 6.8961 3.7500 9.6576
angles: 90.00 90.00 90.00
With the nearest neighbours (Å) after each atom.
Space group Pnma (No. 62)
Inequivalent atoms, fractional coordinates:
Fe 0.0757 0.2500 0.0519 x4  2 Fe 2.37
Hg 0.0289 0.2500 0.7548 x4  3 Fe 2.74-2.89, 2 Hg 3.02
Hg 0.1664 0.2500 0.4466 x4  3 Fe 2.78-2.82, 2 Hg 3.02

***

Record 22
First-principles (GGA-PBE) data for an optimized crystal structure of FeHg4, as listed in Alexandria via LeMat-Bulk.

abc: 8.7385 8.7385 2.9602
angles: 90.00 90.00 90.00
With the nearest neighbours (Å) after each atom.
Space group I4/mmm (No. 139)
Inequivalent atoms, fractional coordinates:
Fe 0.0000 0.0000 0.0000 x2  8 Hg 2.79, 2 Fe 2.96
Hg 0.0000 0.2704 0.5000 x8  2 Fe 2.79, 2 Hg 2.96

***

Record 23
First-principles (GGA-PBE) data for an optimized crystal structure of FeHg4, as listed in Alexandria via LeMat-Bulk.

abc: 19.6693 3.5233 3.1491
angles: 90.00 92.52 90.00
With the nearest neighbours (Å) after each atom.
Space group C2/m (No. 12)
Inequivalent atoms, fractional coordinates:
Fe 0.0000 0.0000 0.0000 x2  8 Hg 2.82-2.87, 2 Fe 3.15
Hg 0.0809 0.5000 0.5079 x4  4 Fe 2.82-2.87, 4 Hg 3.11-3.15
Hg 0.1894 0.0000 0.9918 x4  8 Hg 2.96-3.26

***

Record 24
First-principles (GGA-PBE) data for an optimized crystal structure of FeHg2, as listed in Alexandria via LeMat-Bulk.

abc: 4.5487 2.9884 19.4949
angles: 90.00 90.00 90.00
With the nearest neighbours (Å) after each atom.
Space group Amm2 (No. 38)
Inequivalent atoms, fractional coordinates:
Fe 0.0000 0.0000 0.0000 x2  2 Fe 2.36
Fe 0.0000 0.0000 0.4061 x2  2 Fe 2.36
Hg 0.0000 0.0000 0.7795 x2  2 Fe 2.89, 6 Hg 2.99-3.20
Hg 0.5000 0.0000 0.1930 x2  8 Hg 2.99-3.20
Hg 0.5000 0.0000 0.5507 x2  4 Fe 2.90, 4 Hg 2.99-3.15
Hg 0.5000 0.0000 0.9002 x2  6 Fe 2.72-2.99, 2 Hg 2.99

***

Record 25
First-principles (GGA-PBE) data for an optimized crystal structure of FeHg5, as listed in Alexandria via LeMat-Bulk.

abc: 3.0782 3.0782 14.4414
angles: 90.00 90.00 90.00
With the nearest neighbours (Å) after each atom.
Space group P4/mmm (No. 123)
Inequivalent atoms, fractional coordinates:
Fe 0.0000 0.0000 0.0000 x1  8 Hg 2.84, 4 Fe 3.08
Hg 0.0000 0.0000 0.3098 x2  8 Hg 3.08-3.43
Hg 0.5000 0.5000 0.1260 x2  4 Fe 2.84, 4 Hg 3.08
Hg 0.5000 0.5000 0.5000 x1  4 Hg 3.08

***

Record 26
First-principles (GGA-PBE) data for an optimized crystal structure of Fe4Hg, as listed in Alexandria via LeMat-Bulk.

abc: 2.9897 2.9897 15.2448
angles: 90.00 90.00 90.00
With the nearest neighbours (Å) after each atom.
Space group I4/mmm (No. 139)
Inequivalent atoms, fractional coordinates:
Fe 0.0000 0.0000 0.1213 x4  5 Fe 2.46-2.67
Fe 0.0000 0.0000 0.2962 x4  9 Fe 2.46-2.67
Hg 0.0000 0.0000 0.5000 x2  10 Fe 2.81-3.11, 4 Hg 2.99

***

no.,E_tot (eV/atom)
1,-8.649
2,-7.577
3,-8.678
4,-8.896
5,-9.408
6,-9.498
7,-8.815
8,-1.637
9,-6.044
10,-6.827
11,-2.890
12,-1.441
13,-3.529
14,-5.046
15,-5.227
16,-6.843
17,-3.356
18,-1.338
19,-1.073
20,-5.430
21,-2.630
22,-1.668
23,-1.600
24,-2.692
25,-1.408
26,-6.609